Entry 1:
{
  "formula": "MnBeCu2",
  "functional": "PBE-GGA",
  "state": "optimized geometry",
  "volume_a3_per_atom": 11.5,
  "delta_e_f_ev_per_atom": 0.11,
  "cell": [[-1.462, 2.017, 3.903], [1.462, -2.017, 3.903], [1.462, 2.017, -3.903]],
  "species": ["Mn", "Be", "Cu", "Cu"],
  "frac_coords": [[0.000, 0.000, 0.000], [0.245, 0.745, 0.500], [0.462, 0.462, 0.000], [0.729, 0.229, 0.500]]
}


Entry 2:
{
  "formula": "Mn3BeCu",
  "functional": "PBE-GGA",
  "state": "optimized geometry",
  "relative_energy_mev_per_atom": 0.0,
  "volume_a3_per_atom": 13.7,
  "delta_e_f_ev_per_atom": 0.70,
  "cell": [[4.090, 0.000, 0.000], [0.000, 4.090, 0.000], [0.000, 0.000, 4.090]],
  "species": ["Mn", "Mn", "Mn", "Be", "Cu"],
  "frac_coords": [[0.000, 0.000, 0.500], [0.000, 0.500, 0.000], [0.500, 0.000, 0.000], [0.000, 0.000, 0.000], [0.500, 0.500, 0.500]]
}


Entry 3:
{
  "formula": "MnBeCu2Mo",
  "functional": "PBE-GGA",
  "state": "optimized geometry",
  "volume_a3_per_atom": 17.4,
  "delta_e_f_ev_per_atom": 1.93,
  "cell": [[4.538, 0.000, 0.000], [0.000, 4.538, 0.000], [0.000, 0.000, 4.226]],
  "species": ["Mn", "Be", "Cu", "Cu", "Mo"],
  "frac_coords": [[0.000, 0.000, 0.000], [0.500, 0.500, 0.000], [0.000, 0.500, 0.500], [0.500, 0.000, 0.500], [0.500, 0.500, 0.500]]
}


Entry 4:
{
  "formula": "MnBeCuMo2",
  "functional": "PBE-GGA",
  "state": "optimized geometry",
  "volume_a3_per_atom": 13.5,
  "delta_e_f_ev_per_atom": 0.85,
  "cell": [[4.209, 0.000, 0.000], [0.000, 4.209, 0.000], [0.000, 0.000, 3.804]],
  "species": ["Mn", "Be", "Cu", "Mo", "Mo"],
  "frac_coords": [[0.000, 0.000, 0.000], [0.500, 0.500, 0.500], [0.500, 0.500, 0.000], [0.000, 0.500, 0.500], [0.500, 0.000, 0.500]]
}


| no. | E_tot (eV/cell) | density (Mg/m³) | total magnetization (Bohr magnetons per cell) |
| --- | --- | --- | --- |
| 1 | -20.650 | 6.890 | 3.405 |
| 2 | -31.821 | 5.760 | 9.841 |
| 3 | -22.287 | 5.475 | 0.150 |
| 4 | -34.402 | 7.869 | 0.000 |